Ba2Zn15Ga2: optimized geometry, PBE.

- Energy relative to the elements: -0.16 eV per atom
- Symmetry: No. 166
- E: -1.68 eV per atom

Unit cell a=7.074 b=7.074 c=7.074 alpha=83.68 beta=83.68 gamma=83.68
Fractional coordinates of all 19 atoms:
Zn 0.000 0.708 0.292
Zn 0.000 0.500 0.000
Ba 0.337 0.337 0.337
Zn 0.655 0.163 0.655
Zn 0.345 0.837 0.345
Zn 0.500 0.000 0.000
Ba 0.663 0.663 0.663
Zn 0.708 0.292 0.000
Ga 0.903 0.903 0.903
Zn 0.000 0.000 0.500
Zn 0.163 0.655 0.655
Ga 0.097 0.097 0.097
Zn 0.292 0.708 0.000
Zn 0.655 0.655 0.163
Zn 0.292 0.000 0.708
Zn 0.708 0.000 0.292
Zn 0.345 0.345 0.837
Zn 0.837 0.345 0.345
Zn 0.000 0.292 0.708